Sr2Mg5In3 | PBE-GGA | optimized geometry

Cell and atoms, written as POSCAR:
```
Sr2Mg5In3
1.0
4.721 0.000 0.000
0.000 4.721 0.000
0.000 0.000 13.056
Sr Mg In
2 5 3
Cartesian
0.000 2.361 3.062
2.361 0.000 9.994
0.000 0.000 6.528
0.000 2.361 8.416
2.361 0.000 4.640
2.361 2.361 0.000
2.361 2.361 6.528
0.000 0.000 0.000
0.000 2.361 11.245
2.361 0.000 1.811
```

Values from the calculation:
For the energy above the most stable polymorph in this dataset, the calculation gives 0.042 eV per atom. As for the symmetry: P-4m2, No. 115. The value obtained for the theoretical density is 3.7 g/cm³. Its density of states at the Fermi level is 5.12 states/eV per cell. The value obtained for the energy of formation is -0.16 eV per atom.

---

Sr2MgIn6 | PBE-GGA | optimized geometry

Cell and atoms, written as POSCAR:
```
Sr2MgIn6
1.0
8.890 0.000 0.000
-4.445 7.699 0.000
0.000 0.000 3.763
Sr Mg In
2 1 6
Cartesian
0.000 5.133 0.000
4.445 2.566 0.000
0.000 0.000 0.000
-1.453 2.516 1.881
-2.992 5.183 1.881
2.906 0.000 1.881
1.453 2.516 1.881
5.984 0.000 1.881
2.992 5.183 1.881
```

Values from the calculation:
As for the symmetry: P6/mmm, No. 191. The value obtained for the theoretical density is 5.7 g/cm³. Its density of states at the Fermi level is 6.01 states/eV per cell. The value obtained for the energy of formation is -0.24 eV per atom.

---

Sr2MgIn | PBE-GGA | optimized geometry

Cell and atoms, written as POSCAR:
```
Sr2MgIn
1.0
4.087 0.000 0.000
0.000 5.825 0.000
0.000 0.000 5.828
Sr Mg In
2 1 1
Cartesian
0.000 0.000 0.000
0.000 2.912 2.863
2.043 0.000 2.941
2.043 2.912 5.763
```

Values from the calculation:
As for the symmetry: Pmm2, No. 25. The value obtained for the theoretical density is 3.8 g/cm³. Its density of states at the Fermi level is 2.48 states/eV per cell. The value obtained for the energy of formation is -0.26 eV per atom.

---

Sr5Mg4In4 | PBE-GGA | optimized geometry

Cell and atoms, written as POSCAR:
```
Sr5Mg4In4
1.0
-6.609 6.609 2.426
6.609 -6.609 2.426
6.609 6.609 -2.426
Sr Mg In
5 4 4
Cartesian
0.000 0.000 0.000
4.810 3.885 0.000
2.724 -1.800 2.426
3.885 8.409 0.000
1.800 2.724 2.426
7.538 1.353 0.000
1.353 5.681 0.000
5.256 0.928 2.426
-0.928 5.256 2.426
3.451 0.676 0.000
5.933 -3.159 2.426
0.676 9.768 0.000
3.159 5.933 2.426
```

Values from the calculation:
As for the symmetry: I4/m, No. 87. The value obtained for the theoretical density is 3.9 g/cm³. Its density of states at the Fermi level is 9.72 states/eV per cell. The value obtained for the energy of formation is -0.29 eV per atom.

---

Sr2MgIn | PBE-GGA | optimized geometry

Cell and atoms, written as POSCAR:
```
Sr2MgIn
1.0
0.000 4.053 4.053
4.053 0.000 4.053
4.053 4.053 0.000
Sr Mg In
2 1 1
Cartesian
0.000 0.000 0.000
2.026 2.026 2.026
4.053 4.053 4.053
6.079 6.079 6.079
```

Values from the calculation:
As for the symmetry: F-43m, No. 216. The value obtained for the theoretical density is 3.9 g/cm³. Its density of states at the Fermi level is 2.17 states/eV per cell. The value obtained for the energy of formation is -0.10 eV per atom.

---

Sr6Mg2In | PBE-GGA | optimized geometry

Cell and atoms, written as POSCAR:
```
Sr6Mg2In
1.0
0.000 7.273 8.797
2.939 0.000 8.797
2.939 7.273 0.000
Sr Mg In
6 2 1
Cartesian
2.939 1.997 8.797
2.939 5.207 5.927
2.939 9.340 5.927
2.939 5.207 11.666
2.939 9.340 11.666
2.939 12.550 8.797
2.939 7.273 3.013
2.939 7.273 14.580
2.939 7.273 8.797
```

Values from the calculation:
As for the symmetry: Fmmm, No. 69. The value obtained for the theoretical density is 3.0 g/cm³. Its density of states at the Fermi level is 8.20 states/eV per cell. The value obtained for the energy of formation is -0.13 eV per atom.

---

Sr4Mg3In | PBE-GGA | optimized geometry

Cell and atoms, written as POSCAR:
```
Sr4Mg3In
1.0
4.124 0.000 0.000
0.000 4.124 0.000
0.000 0.000 16.862
Sr Mg In
4 3 1
Cartesian
0.000 0.000 1.976
0.000 0.000 6.275
0.000 0.000 10.587
0.000 0.000 14.886
2.062 2.062 4.134
2.062 2.062 8.431
2.062 2.062 12.728
2.062 2.062 0.000
```

Values from the calculation:
As for the symmetry: P4/mmm, No. 123. The value obtained for the theoretical density is 3.1 g/cm³. Its density of states at the Fermi level is 7.01 states/eV per cell. The value obtained for the energy of formation is -0.16 eV per atom.

---

Sr8Mg2In | PBE-GGA | optimized geometry

Cell and atoms, written as POSCAR:
```
Sr8Mg2In
1.0
5.192 -9.630 0.000
5.192 9.630 0.000
-3.344 0.000 4.854
Sr Mg In
8 2 1
Cartesian
0.000 0.000 0.000
3.928 6.692 2.704
2.713 2.001 1.870
5.791 4.071 0.410
2.713 -2.001 1.870
6.396 0.000 0.834
5.791 -4.071 0.410
3.928 -6.692 2.704
5.557 3.049 3.829
5.557 -3.049 3.829
0.218 0.000 3.733
```

Values from the calculation:
As for the symmetry: Cm, No. 8. The value obtained for the theoretical density is 3.0 g/cm³. Its density of states at the Fermi level is 13.91 states/eV per cell. The value obtained for the energy of formation is -0.08 eV per atom.

---

SrMg12In6 | PBE-GGA | optimized geometry

Cell and atoms, written as POSCAR:
```
SrMg12In6
1.0
6.592 3.806 3.336
-6.592 3.806 3.336
0.000 -7.612 3.336
Sr Mg In
1 12 6
Cartesian
0.000 0.000 0.000
-2.554 -4.424 5.005
-5.108 0.000 5.005
-1.654 -0.955 3.233
1.654 -0.955 3.233
0.000 1.910 3.233
2.554 -4.424 5.005
-2.554 4.424 5.005
0.000 -1.910 6.776
-1.654 0.955 6.776
1.654 0.955 6.776
5.108 0.000 5.005
2.554 4.424 5.005
0.000 -3.470 4.184
-3.005 1.735 4.184
-3.005 -1.735 5.825
3.005 1.735 4.184
3.005 -1.735 5.825
0.000 3.470 5.825
```

Values from the calculation:
As for the symmetry: R-3m, No. 166. The value obtained for the theoretical density is 3.5 g/cm³. Its density of states at the Fermi level is 9.74 states/eV per cell. The value obtained for the energy of formation is 0.00 eV per atom.

---

Sr3MgIn2 | PBE-GGA | optimized geometry

Cell and atoms, written as POSCAR:
```
Sr3MgIn2
1.0
2.878 -8.642 0.000
2.878 8.642 0.000
0.000 0.000 4.165
Sr Mg In
3 1 2
Cartesian
0.000 0.000 0.000
2.878 2.959 0.000
2.878 -2.959 0.000
2.878 0.000 2.082
2.878 5.854 2.082
2.878 -5.854 2.082
```

Values from the calculation:
For the energy above the most stable polymorph in this dataset, the calculation gives 0.004 eV per atom. As for the symmetry: Cmmm, No. 65. The value obtained for the theoretical density is 4.1 g/cm³. Its density of states at the Fermi level is 5.66 states/eV per cell. The value obtained for the energy of formation is -0.31 eV per atom.

---

SrMg3In4 | PBE-GGA | optimized geometry

Cell and atoms, written as POSCAR:
```
SrMg3In4
1.0
10.314 0.000 0.000
0.000 7.772 0.000
0.000 0.000 5.157
Sr Mg In
2 6 8
Cartesian
0.000 0.000 0.000
5.157 0.000 0.000
0.000 3.886 0.000
2.578 0.000 2.537
2.578 3.886 2.450
5.157 3.886 0.000
7.735 0.000 2.620
7.735 3.886 2.707
0.000 2.144 2.579
0.000 5.628 2.579
2.578 2.142 5.059
2.578 5.630 5.059
5.157 2.144 2.579
5.157 5.628 2.579
7.735 2.142 0.098
7.735 5.630 0.098
```

Values from the calculation:
As for the symmetry: Pmma, No. 51. The value obtained for the theoretical density is 5.0 g/cm³. Its density of states at the Fermi level is 5.64 states/eV per cell. The value obtained for the energy of formation is -0.18 eV per atom.

---

SrMg12In4 | PBE-GGA | optimized geometry

Cell and atoms, written as POSCAR:
```
SrMg12In4
1.0
-5.019 5.019 5.019
5.019 -5.019 5.019
5.019 5.019 -5.019
Sr Mg In
1 12 4
Cartesian
0.000 0.000 0.000
3.502 0.000 1.636
6.537 0.000 1.636
5.019 3.383 -1.517
1.636 3.502 0.000
3.383 -1.517 5.019
5.019 3.383 1.517
0.000 1.636 3.502
1.636 6.537 0.000
3.383 1.517 5.019
0.000 1.636 6.537
-1.517 5.019 3.383
1.517 5.019 3.383
2.510 2.510 -2.510
2.510 -2.510 2.510
-2.510 2.510 2.510
2.510 2.510 2.510
```

Values from the calculation:
As for the symmetry: Im-3, No. 204. The value obtained for the theoretical density is 2.8 g/cm³. Its density of states at the Fermi level is 12.75 states/eV per cell. The value obtained for the energy of formation is 0.21 eV per atom.

---

SrMg2TaIn | PBE-GGA | optimized geometry

Cell and atoms, written as POSCAR:
```
SrMg2TaIn
1.0
5.499 0.000 0.000
0.000 5.499 0.000
0.000 0.000 5.892
Sr Mg Ta In
1 2 1 1
Cartesian
0.000 0.000 0.000
0.000 2.750 2.946
2.750 0.000 2.946
0.000 0.000 2.946
2.750 2.750 0.000
```

Values from the calculation:
For the energy above the most stable polymorph in this dataset, the calculation gives 0.000 eV per atom. As for the symmetry: P4/mmm, No. 123. The value obtained for the theoretical density is 4.0 g/cm³. Its density of states at the Fermi level is 4.12 states/eV per cell. The value obtained for the energy of formation is 1.06 eV per atom.

---

SrMg2TaIn | PBE-GGA | optimized geometry

Cell and atoms, written as POSCAR:
```
SrMg2TaIn
1.0
5.694 0.000 0.000
0.000 5.694 0.000
0.000 0.000 5.305
Sr Mg Ta In
1 2 1 1
Cartesian
0.000 0.000 0.000
0.000 2.847 0.000
2.847 0.000 0.000
0.000 0.000 2.652
2.847 2.847 2.652
```

Values from the calculation:
For the energy above the most stable polymorph in this dataset, the calculation gives 0.720 eV per atom. As for the symmetry: P4/mmm, No. 123. The value obtained for the theoretical density is 4.2 g/cm³. Its density of states at the Fermi level is 6.14 states/eV per cell. The value obtained for the energy of formation is 1.78 eV per atom.

---

SrTbMgIn | PBE-GGA | optimized geometry

Cell and atoms, written as POSCAR:
```
SrTbMgIn
1.0
3.921 0.000 0.000
0.000 3.921 0.000
0.000 0.000 8.017
Sr Tb Mg In
1 1 1 1
Cartesian
0.000 0.000 0.000
0.000 0.000 3.936
1.961 1.961 5.719
1.961 1.961 2.201
```

Values from the calculation:
For the energy above the most stable polymorph in this dataset, the calculation gives 0.000 eV per atom. As for the symmetry: P4mm, No. 99. The value obtained for the theoretical density is 5.2 g/cm³. Its density of states at the Fermi level is 3.11 states/eV per cell. The value obtained for the energy of formation is -0.26 eV per atom.

---

SrTbMgIn | PBE-GGA | optimized geometry

Cell and atoms, written as POSCAR:
```
SrTbMgIn
1.0
0.000 3.926 3.926
3.926 0.000 3.926
3.926 3.926 0.000
Sr Tb Mg In
1 1 1 1
Cartesian
0.000 0.000 0.000
3.926 3.926 3.926
5.889 5.889 5.889
1.963 1.963 1.963
```

Values from the calculation:
For the energy above the most stable polymorph in this dataset, the calculation gives 0.022 eV per atom. As for the symmetry: F-43m, No. 216. The value obtained for the theoretical density is 5.3 g/cm³. Its density of states at the Fermi level is 2.43 states/eV per cell. The value obtained for the energy of formation is -0.24 eV per atom.

---

SrTbMg2In4 | PBE-GGA | optimized geometry

Cell and atoms, written as POSCAR:
```
SrTbMg2In4
1.0
2.641 1.525 8.754
-2.641 1.525 8.754
0.000 -3.050 8.754
Sr Tb Mg In
1 1 2 4
Cartesian
0.000 0.000 0.000
0.000 0.000 13.131
0.000 0.000 6.541
0.000 0.000 19.721
0.000 0.000 3.338
0.000 0.000 9.955
0.000 0.000 16.308
0.000 0.000 22.924
```

Values from the calculation:
As for the symmetry: R-3m, No. 166. The value obtained for the theoretical density is 5.9 g/cm³. Its density of states at the Fermi level is 3.34 states/eV per cell. The value obtained for the energy of formation is -0.29 eV per atom.

---

Sr2MgInTe5 | PBE-GGA | optimized geometry

Cell and atoms, written as POSCAR:
```
Sr2MgInTe5
1.0
2.209 -10.249 0.000
2.209 10.249 0.000
0.000 0.000 13.477
Sr Mg In Te
4 2 2 10
Cartesian
2.209 7.870 6.739
2.209 7.683 1.771
2.209 -7.683 8.509
2.209 -7.870 0.000
2.209 5.575 11.394
2.209 -5.575 4.656
2.209 1.410 3.620
2.209 -1.410 10.359
2.209 9.206 12.055
2.209 4.404 6.624
2.209 4.110 2.628
2.209 2.776 11.049
2.209 0.052 1.216
2.209 -0.052 7.954
2.209 -2.776 4.310
2.209 -4.110 9.367
2.209 -4.404 13.362
2.209 -9.206 5.316
```

Values from the calculation:
As for the symmetry: Cmc2_1, No. 36. The value obtained for the theoretical density is 5.2 g/cm³. Its density of states at the Fermi level is 10.70 states/eV per cell. The calculation puts the energy at -64.0 eV per cell.

---

SrThMgIn | PBE-GGA | optimized geometry

Cell and atoms, written as POSCAR:
```
SrThMgIn
1.0
0.000 3.953 3.953
3.953 0.000 3.953
3.953 3.953 0.000
Sr Th Mg In
1 1 1 1
Cartesian
0.000 0.000 0.000
3.953 3.953 3.953
5.929 5.929 5.929
1.976 1.976 1.976
```

Values from the calculation:
As for the symmetry: F-43m, No. 216. The value obtained for the theoretical density is 6.2 g/cm³. Its density of states at the Fermi level is 3.79 states/eV per cell. The value obtained for the energy of formation is -0.06 eV per atom.

---

SrMg2Tl2In2 | PBE-GGA | optimized geometry

Cell and atoms, written as POSCAR:
```
SrMg2Tl2In2
1.0
5.049 -2.277 0.000
5.049 2.277 0.000
-0.990 0.000 8.509
Sr Mg Tl In
1 2 2 2
Cartesian
0.000 0.000 0.000
0.998 0.000 3.733
8.110 0.000 4.776
2.015 0.000 6.848
7.093 0.000 1.661
4.027 0.000 2.735
5.080 0.000 5.774
```

Values from the calculation:
As for the symmetry: C2/m, No. 12. The value obtained for the theoretical density is 6.6 g/cm³. Its density of states at the Fermi level is 3.51 states/eV per cell. The value obtained for the energy of formation is -0.17 eV per atom.